Entry 1:
# ScCoSi3 | the Alexandria database | PBE | relaxed
# DFT total energy: -22.71 eV for the cell shown
# crystal system: cubic
data_ScCoSi3
_cell_length_a 4.8987
_cell_length_b 4.8987
_cell_length_c 4.8987
_cell_angle_alpha 90.00
_cell_angle_beta 90.00
_cell_angle_gamma 90.00
_symmetry_space_group_name_H-M 'P m -3 m'
_symmetry_Int_Tables_number 221
_symmetry_space_group_name_Hall '-P 4 2 3'
loop_
_atom_site_label
_atom_site_type_symbol
_atom_site_fract_x
_atom_site_fract_y
_atom_site_fract_z
Sc1 Sc 0.0000 0.0000 0.0000
Co1 Co 0.5000 0.5000 0.5000
Si1 Si 0.0000 0.0000 0.5000

---

Entry 2:
# MnBe4Co3 | the Alexandria database | PBE | relaxed
# formation energy from the elements: -0.28 eV per atom
# crystal system: tetragonal
data_MnBe4Co3
_cell_length_a 3.7051
_cell_length_b 3.7051
_cell_length_c 5.2881
_cell_angle_alpha 90.00
_cell_angle_beta 90.00
_cell_angle_gamma 90.00
_symmetry_space_group_name_H-M 'P 4/m m m'
_symmetry_Int_Tables_number 123
_symmetry_space_group_name_Hall '-P 4 2'
loop_
_atom_site_label
_atom_site_type_symbol
_atom_site_fract_x
_atom_site_fract_y
_atom_site_fract_z
Mn1 Mn 0.0000 0.0000 0.0000
Be1 Be 0.0000 0.5000 0.2717
Co1 Co 0.0000 0.0000 0.5000
Co2 Co 0.5000 0.5000 0.0000
Co3 Co 0.5000 0.5000 0.5000

---

Entry 3:
# Zn2ClO | the Alexandria database | PBE | relaxed
# crystal system: monoclinic
# energy relative to the lowest polymorph listed for this composition: 40.1 meV per atom
data_Zn2ClO
_cell_length_a 9.0420
_cell_length_b 5.0758
_cell_length_c 6.4377
_cell_angle_alpha 90.00
_cell_angle_beta 121.06
_cell_angle_gamma 90.00
_symmetry_space_group_name_H-M 'C 1 2 1'
_symmetry_Int_Tables_number 5
loop_
_symmetry_equiv_pos_as_xyz
'x,y,z'
'-x,y,-z'
'x+1/2,y+1/2,z'
'-x+1/2,y+1/2,-z'
loop_
_atom_site_label
_atom_site_type_symbol
_atom_site_fract_x
_atom_site_fract_y
_atom_site_fract_z
Zn1 Zn 0.0000 0.0000 0.0000
Zn2 Zn 0.0000 0.3049 0.5000
Zn3 Zn 0.1508 0.5596 0.0273
Cl1 Cl 0.2118 0.6876 0.6240
O1 O 0.1124 0.2140 0.8407

---

Entry 4:
# K2Tl3In4Hg | the Alexandria database | PBE | relaxed
# formation energy from the elements: -0.08 eV per atom
# crystal system: tetragonal
data_K2Tl3In4Hg
_cell_length_a 5.1304
_cell_length_b 5.1304
_cell_length_c 12.6239
_cell_angle_alpha 90.00
_cell_angle_beta 90.00
_cell_angle_gamma 90.00
_symmetry_space_group_name_H-M 'P -4 m 2'
_symmetry_Int_Tables_number 115
loop_
_symmetry_equiv_pos_as_xyz
'x,y,z'
'y,-x,-z'
'-x,-y,z'
'-y,x,-z'
'-x,y,z'
'-y,-x,-z'
'x,-y,z'
'y,x,-z'
loop_
_atom_site_label
_atom_site_type_symbol
_atom_site_fract_x
_atom_site_fract_y
_atom_site_fract_z
K1 K 0.0000 0.5000 0.2452
Tl1 Tl 0.0000 0.0000 0.0000
Tl2 Tl 0.0000 0.5000 0.6383
In1 In 0.0000 0.0000 0.5000
In2 In 0.0000 0.5000 0.8735
In3 In 0.5000 0.5000 0.5000
Hg1 Hg 0.5000 0.5000 0.0000

---

Entry 5:
# LiIrOs3 | the Alexandria database | PBE | relaxed
# formation energy from the elements: 1.21 eV per atom
# crystal system: cubic
# energy relative to the lowest polymorph listed for this composition: 0.0 meV per atom
data_LiIrOs3
_cell_length_a 4.0651
_cell_length_b 4.0651
_cell_length_c 4.0651
_cell_angle_alpha 90.00
_cell_angle_beta 90.00
_cell_angle_gamma 90.00
_symmetry_space_group_name_H-M 'P m -3 m'
_symmetry_Int_Tables_number 221
_symmetry_space_group_name_Hall '-P 4 2 3'
loop_
_atom_site_label
_atom_site_type_symbol
_atom_site_fract_x
_atom_site_fract_y
_atom_site_fract_z
Li1 Li 0.0000 0.0000 0.0000
Ir1 Ir 0.5000 0.5000 0.5000
Os1 Os 0.0000 0.0000 0.5000

---

Entry 6:
# Pr3Tm8 | the Alexandria database | PBE | relaxed
# formation energy from the elements: 0.58 eV per atom
# crystal system: trigonal
# energy relative to the lowest polymorph listed for this composition: 548.7 meV per atom
data_Pr3Tm8
_cell_length_a 10.3281
_cell_length_b 10.3281
_cell_length_c 12.0604
_cell_angle_alpha 90.00
_cell_angle_beta 90.00
_cell_angle_gamma 120.00
_symmetry_space_group_name_H-M 'R -3'
_symmetry_Int_Tables_number 148
_symmetry_space_group_name_Hall '-R 3'
loop_
_atom_site_label
_atom_site_type_symbol
_atom_site_fract_x
_atom_site_fract_y
_atom_site_fract_z
Pr1 Pr 0.0000 0.5000 0.0000
Tm1 Tm 0.0000 0.0000 0.3472
Tm2 Tm 0.0064 0.8126 0.8887

---

| no. | DOS(E_F) (states/eV per cell) |
| --- | --- |
| 1 | 5.670 |
| 2 | 4.335 |
| 3 | 0.000 |
| 4 | 5.705 |
| 5 | 3.526 |
| 6 | 62.410 |